Record 1
First-principles (PBE-GGA) data for crystalline Nd2IrSe at its relaxed geometry, as listed in Alexandria.

Output
**ΔE_f (raw)**: -110 kJ per mole of atoms
**Energy above the most stable polymorph in this dataset**: 0.062 eV per atom
**Crystal system**: trigonal

Geometry as POSCAR:
```
Nd2IrSe
1.0
4.124 0.000 0.000
2.062 3.572 0.000
2.062 1.191 7.367
Nd Ir Se
2 1 1
Cartesian
2.062 1.191 5.722
2.062 1.191 1.637
4.124 2.381 0.009
4.124 2.381 3.683
```


Record 2
First-principles (PBE-GGA) data for crystalline RbIr2C at its relaxed geometry, as listed in Alexandria.

Output
**Energy relative to the elements**: 739 meV per atom
**Crystal system**: tetragonal

Geometry as POSCAR:
```
RbIr2C
1.0
-5.516 2.132 -2.244
-3.093 -3.607 4.176
-4.216 2.561 3.880
C Ir Rb
2 4 2
Cartesian
-4.305 -0.737 0.966
-5.807 -0.891 4.511
-3.601 1.025 0.613
-4.964 -0.850 2.776
-7.112 0.526 4.609
-9.973 1.472 3.626
0.000 0.000 0.000
-7.018 1.978 1.301
```


Record 3
First-principles (PBE-GGA) data for crystalline Sc2BrCl at its relaxed geometry, as listed in Alexandria.

Output
**ΔE_f (raw)**: -74 kJ per mole of atoms
**Energy above the most stable polymorph in this dataset**: 0.506 eV per atom
**Crystal system**: tetragonal

Geometry as POSCAR:
```
Sc2BrCl
1.0
-2.346 -1.769 -3.677
4.057 -0.559 -2.320
1.665 -9.198 0.352
Sc Br Cl
4 2 2
Cartesian
-0.518 -3.456 -2.461
2.633 -2.889 -1.861
1.934 -7.777 -2.010
2.702 -8.929 -4.958
0.000 0.000 0.000
0.087 -6.066 -3.162
0.856 -1.164 -2.998
3.289 -5.460 -2.483
```


Record 4
First-principles (PBE-GGA) data for crystalline CaTlCo2 at its relaxed geometry, as listed in Alexandria.

Output
**Energy relative to the elements**: 195 meV per atom
**Crystal system**: tetragonal

Geometry as POSCAR:
```
CaTlCo2
1.0
3.199 0.012 0.000
-0.012 3.199 0.000
0.000 0.000 7.367
Tl Co Ca
1 2 1
Cartesian
0.000 0.000 3.305
0.000 0.000 0.526
1.593 1.605 1.402
1.593 1.605 5.818
```


Record 5
First-principles (PBE-GGA) data for crystalline CsRb at its relaxed geometry, as listed in Alexandria.

Output
**Energy relative to the elements**: 4 meV per atom
**Energy above the most stable polymorph in this dataset**: 0.005 eV per atom
**Crystal system**: monoclinic

Geometry as POSCAR:
```
CsRb
1.0
-2.146 -2.315 -4.014
-6.373 -2.530 4.866
-4.173 8.431 -1.082
Cs Rb
2 2
Cartesian
-6.207 2.733 -3.075
-6.485 0.852 2.846
-9.626 4.089 0.415
-3.065 -0.504 -0.645
```


Record 6
First-principles (PBE-GGA) data for crystalline BaZr2Br at its relaxed geometry, as listed in Alexandria.

Output
**ΔE_f (raw)**: 7 kJ per mole of atoms
**Energy above the most stable polymorph in this dataset**: 0.256 eV per atom
**Crystal system**: monoclinic

Geometry as POSCAR:
```
BaZr2Br
1.0
4.954 0.000 -0.001
-2.477 7.252 -0.001
0.000 0.912 3.520
Br Ba Zr
1 1 2
Cartesian
1.238 3.626 -0.001
-1.239 4.082 1.759
0.000 0.000 0.000
2.477 0.456 1.760
```


Record 7
First-principles (PBE-GGA) data for crystalline LaTbY6Ho2 at its relaxed geometry, as listed in Alexandria.

Output
**Energy relative to the elements**: 120 meV per atom
**Crystal system**: monoclinic

Geometry as POSCAR:
```
LaTbY6Ho2
1.0
9.104 -1.922 -1.995
0.885 8.575 -1.953
0.885 -2.270 8.496
La Tb Y Ho
2 2 12 4
Cartesian
3.161 7.740 -2.111
7.713 -3.357 6.659
3.161 1.709 3.701
7.713 2.674 0.847
1.301 -0.803 6.069
5.021 -0.751 6.123
9.573 5.186 -1.521
5.853 5.133 -1.575
4.175 6.862 1.190
2.147 4.409 -1.356
6.699 -2.479 3.358
8.727 -0.026 5.904
2.079 4.747 2.498
4.243 3.023 0.709
8.796 -0.365 2.050
6.631 1.359 3.839
5.398 4.421 3.473
0.924 2.037 0.999
5.476 -0.038 1.075
9.951 2.346 3.549
```


Record 8
First-principles (PBE-GGA) data for crystalline LiHgSeF2 at its relaxed geometry, as listed in Alexandria.

Output
**ΔE_f (raw)**: -69 kJ per mole of atoms
**Crystal system**: tetragonal

Geometry as POSCAR:
```
LiHgSeF2
1.0
-3.424 1.841 -2.279
-1.352 -4.858 -1.893
-2.702 -0.631 3.550
Li Hg Se F
1 1 1 2
Cartesian
-3.739 -1.824 -0.311
-0.676 -2.429 -0.946
0.000 0.000 0.000
-1.351 -0.316 1.775
-1.712 0.921 -1.139
```


Number 1: calculated total energy -26.4 eV per formula unit. Number 2: calculated total energy -25.0 eV per formula unit. Number 3: calculated total energy -19.2 eV per formula unit. Number 4: calculated total energy -17.8 eV per formula unit. Number 5: calculated total energy -1.8 eV per formula unit. Number 6: calculated total energy -20.4 eV per formula unit. Number 7: calculated total energy -56.3 eV per formula unit. Number 8: calculated total energy -13.0 eV per formula unit.